*i*
A geometry-optimized LiTlCuTc structure, computed with PBE.

The structure in POSCAR format:
```
LiTlCuTc
1.0
6.3470 0.0000 0.0000
0.0000 6.3470 0.0000
0.0000 0.0000 6.3470
Li Tl Cu Tc
4 4 4 4
Cartesian
0.0000 0.0000 0.0000 Li
0.0000 3.1735 3.1735 Li
3.1735 0.0000 3.1735 Li
3.1735 3.1735 0.0000 Li
0.0000 0.0000 3.1735 Tl
0.0000 3.1735 0.0000 Tl
3.1735 0.0000 0.0000 Tl
3.1735 3.1735 3.1735 Tl
1.5868 1.5868 4.7603 Cu
1.5868 4.7603 1.5868 Cu
4.7603 1.5868 1.5868 Cu
4.7603 4.7603 4.7603 Cu
1.5868 1.5868 1.5868 Tc
1.5868 4.7603 4.7603 Tc
4.7603 1.5868 4.7603 Tc
4.7603 4.7603 1.5868 Tc
```

*ii*
A geometry-optimized LiTlCuTc structure, computed with PBE.

The structure in POSCAR format:
```
LiTlCuTc
1.0
6.2655 0.0000 0.0000
0.0000 6.2655 0.0000
0.0000 0.0000 6.2655
Li Tl Cu Tc
4 4 4 4
Cartesian
0.0000 0.0000 0.0000 Li
0.0000 3.1327 3.1327 Li
3.1327 0.0000 3.1327 Li
3.1327 3.1327 0.0000 Li
1.5664 1.5664 1.5664 Tl
1.5664 4.6991 4.6991 Tl
4.6991 1.5664 4.6991 Tl
4.6991 4.6991 1.5664 Tl
0.0000 0.0000 3.1327 Cu
0.0000 3.1327 0.0000 Cu
3.1327 0.0000 0.0000 Cu
3.1327 3.1327 3.1327 Cu
1.5664 1.5664 4.6991 Tc
1.5664 4.6991 1.5664 Tc
4.6991 1.5664 1.5664 Tc
4.6991 4.6991 4.6991 Tc
```

*ii* has the most favorable energy; the next structure is 72 meV/atom above.

*i*
A geometry-optimized LiZrCuTe3 structure, computed with PBE.

The structure in POSCAR format:
```
LiZrCuTe3
1.0
1.9735 -7.0176 0.0000
1.9735 7.0176 0.0000
0.0000 0.0000 10.7461
Li Zr Cu Te
2 2 2 6
Cartesian
1.9735 4.0223 8.0596 Li
1.9735 -4.0223 2.6865 Li
0.0000 0.0000 0.0000 Zr
0.0000 0.0000 5.3731 Zr
1.9735 0.3786 2.6865 Cu
1.9735 -0.3786 8.0596 Cu
1.9735 5.6829 2.6865 Te
1.9735 2.0289 0.6794 Te
1.9735 2.0289 4.6937 Te
1.9735 -2.0289 6.0525 Te
1.9735 -2.0289 10.0667 Te
1.9735 -5.6829 8.0596 Te
```

*ii*
A geometry-optimized LiZrCuTe3 structure, computed with PBE.

The structure in POSCAR format:
```
LiZrCuTe3
1.0
12.5671 0.0000 0.0000
0.0000 4.0391 0.0000
0.0000 0.0000 11.8345
Li Zr Cu Te
4 4 4 12
Cartesian
2.8819 1.0098 0.6684 Li
3.4017 3.0293 6.5856 Li
9.1655 1.0098 5.2488 Li
9.6853 3.0293 11.1661 Li
0.8800 1.0098 3.7910 Zr
5.4035 3.0293 9.7082 Zr
7.1636 1.0098 2.1263 Zr
11.6871 3.0293 8.0435 Zr
3.1310 3.0293 2.6358 Cu
3.1526 1.0098 8.5530 Cu
9.4145 3.0293 3.2815 Cu
9.4362 1.0098 9.1987 Cu
0.7673 3.0293 1.6768 Te
1.0653 1.0098 6.9024 Te
2.6397 3.0293 10.1056 Te
3.6438 1.0098 4.1884 Te
5.2182 3.0293 0.9852 Te
5.5163 1.0098 7.5940 Te
7.0509 3.0293 4.2404 Te
7.3489 1.0098 10.8493 Te
8.9233 3.0293 7.6461 Te
9.9274 1.0098 1.7288 Te
11.5018 3.0293 4.9321 Te
11.7999 1.0098 10.1576 Te
```

*i* has the most favorable energy; the next structure is 44 meV/atom above.

*i*
A geometry-optimized LiZrCuTe3 structure, computed with PBE.

The structure in POSCAR format:
```
LiZrCuTe3
1.0
10.7199 0.0000 0.0000
0.0000 3.9807 0.0000
0.0000 0.0000 14.2711
Li Zr Cu Te
4 4 4 12
Cartesian
2.6610 0.9952 1.1043 Li
2.6989 2.9855 8.2398 Li
8.0210 0.9952 6.0313 Li
8.0589 2.9855 13.1668 Li
0.0169 2.9855 10.6994 Zr
5.3430 0.9952 3.5638 Zr
5.3769 2.9855 10.7073 Zr
10.7030 0.9952 3.5717 Zr
2.6637 2.9855 3.1654 Cu
2.6962 0.9952 10.3009 Cu
8.0236 2.9855 3.9702 Cu
8.0562 0.9952 11.1057 Cu
0.6196 2.9855 1.5291 Te
0.6557 0.9952 8.6612 Te
2.6636 0.9952 4.8511 Te
2.6963 2.9855 11.9867 Te
4.7042 2.9855 1.5256 Te
4.7403 0.9952 8.6647 Te
5.9796 2.9855 5.6064 Te
6.0156 0.9952 12.7455 Te
8.0236 0.9952 2.2844 Te
8.0563 2.9855 9.4200 Te
10.0642 2.9855 5.6099 Te
10.1003 0.9952 12.7420 Te
```

*ii*
A geometry-optimized LiZrCuTe3 structure, computed with PBE.

The structure in POSCAR format:
```
LiZrCuTe3
1.0
9.4345 -1.9883 0.0000
9.4345 1.9883 0.0000
-1.4627 0.0000 8.0127
Li Zr Cu Te
2 2 2 6
Cartesian
1.9346 0.0000 0.4432 Li
15.4716 0.0000 7.5695 Li
2.1915 0.0000 4.7016 Zr
15.2148 0.0000 3.3111 Zr
8.0707 0.0000 2.2655 Cu
9.3356 0.0000 5.7472 Cu
-0.7313 0.0000 4.0063 Te
5.7746 0.0000 1.2054 Te
5.1407 0.0000 5.3309 Te
9.4345 0.0000 0.0000 Te
12.2655 0.0000 2.6818 Te
11.6317 0.0000 6.8073 Te
```

*i* has the most favorable energy; the next structure is 84 meV/atom above.

*i*
A geometry-optimized LiZrCuTe3 structure, computed with PBE.

The structure in POSCAR format:
```
LiZrCuTe3
1.0
8.0118 0.0000 0.0000
0.0000 3.9941 0.0000
-2.6777 0.0000 9.5328
Li Zr Cu Te
2 2 2 6
Cartesian
1.2630 0.9985 1.9540 Li
4.0711 2.9956 7.5788 Li
-0.2399 2.9956 6.5041 Zr
5.5741 0.9985 3.0287 Zr
0.8925 0.9985 8.6793 Cu
4.4416 2.9956 0.8535 Cu
-0.3057 2.9956 3.4621 Te
-0.7555 2.9956 9.3057 Te
1.8125 0.9985 6.2392 Te
3.5216 2.9956 3.2937 Te
6.0897 0.9985 0.2272 Te
5.6399 0.9985 6.0707 Te
```

*ii*
A geometry-optimized LiZrCuTe3 structure, computed with PBE.

The structure in POSCAR format:
```
LiZrCuTe3
1.0
8.3586 0.0000 0.0000
0.0000 4.1615 0.0000
0.0000 0.0000 16.9489
Li Zr Cu Te
4 4 4 12
Cartesian
0.6101 1.0404 3.6272 Li
3.5692 3.1211 12.1016 Li
4.7894 1.0404 4.8473 Li
7.7485 3.1211 13.3218 Li
1.9810 1.0404 16.1652 Zr
2.1983 3.1211 7.6907 Zr
6.1603 1.0404 9.2583 Zr
6.3776 3.1211 0.7838 Zr
0.0937 3.1211 5.5351 Cu
4.0856 1.0404 14.0096 Cu
4.2730 3.1211 2.9393 Cu
8.2649 1.0404 11.4138 Cu
0.0293 1.0404 7.0745 Te
1.0270 3.1211 1.0706 Te
1.6154 1.0404 13.2964 Te
2.5640 3.1211 4.8219 Te
3.1524 1.0404 9.5450 Te
4.1501 3.1211 15.5490 Te
4.2086 1.0404 1.3999 Te
5.2063 3.1211 7.4039 Te
5.7947 1.0404 12.1271 Te
6.7433 3.1211 3.6526 Te
7.3317 1.0404 15.8784 Te
8.3294 3.1211 9.8744 Te
```

*i* has the most favorable energy; the next structure is 70 meV/atom above.

*i*
A geometry-optimized LiZrCu3Te4 structure, computed with PBE.

The structure in POSCAR format:
```
LiZrCu3Te4
1.0
6.1664 0.0000 0.0000
0.0000 6.1664 0.0000
0.0000 0.0000 6.1664
Li Zr Cu Te
1 1 3 4
Cartesian
0.0000 0.0000 0.0000 Li
3.0832 3.0832 3.0832 Zr
0.0000 3.0832 3.0832 Cu
3.0832 0.0000 3.0832 Cu
3.0832 3.0832 0.0000 Cu
1.5176 1.5176 1.5176 Te
1.5176 4.6488 4.6488 Te
4.6488 1.5176 4.6488 Te
4.6488 4.6488 1.5176 Te
```

*ii*
A geometry-optimized LiZrCu3Te4 structure, computed with PBE.

The structure in POSCAR format:
```
LiZrCu3Te4
1.0
6.1785 0.0000 0.0000
0.0028 8.5010 0.0000
0.6170 0.0011 8.8119
Li Zr Cu Te
2 2 6 8
Cartesian
0.8422 2.1223 4.0931 Li
5.9561 6.3798 4.7188 Li
1.6546 6.3752 2.0093 Zr
5.1437 2.1269 6.8027 Zr
2.0404 4.1835 8.7838 Cu
2.0486 0.0688 8.7834 Cu
2.1645 2.1260 6.9231 Cu
4.6338 6.3762 1.8889 Cu
4.7497 8.4333 0.0285 Cu
4.7579 4.3186 0.0281 Cu
0.6242 4.3408 6.5989 Te
0.6251 8.4121 6.6040 Te
3.2373 6.3777 4.1660 Te
3.6772 6.3742 8.4150 Te
3.1211 2.1279 0.3970 Te
3.5610 2.1244 4.6459 Te
6.1732 0.0900 2.2079 Te
6.1741 4.1613 2.2130 Te
```

*i* has the most favorable energy; the next structure is 74 meV/atom above.

*i*
A geometry-optimized LiTlCuW structure, computed with PBE.

The structure in POSCAR format:
```
LiTlCuW
1.0
6.4553 0.0000 0.0000
0.0000 6.4553 0.0000
0.0000 0.0000 6.4553
Li Tl Cu W
4 4 4 4
Cartesian
0.0000 0.0000 0.0000 Li
0.0000 3.2276 3.2276 Li
3.2276 0.0000 3.2276 Li
3.2276 3.2276 0.0000 Li
0.0000 0.0000 3.2276 Tl
0.0000 3.2276 0.0000 Tl
3.2276 0.0000 0.0000 Tl
3.2276 3.2276 3.2276 Tl
1.6138 1.6138 4.8415 Cu
1.6138 4.8415 1.6138 Cu
4.8415 1.6138 1.6138 Cu
4.8415 4.8415 4.8415 Cu
1.6138 1.6138 1.6138 W
1.6138 4.8415 4.8415 W
4.8415 1.6138 4.8415 W
4.8415 4.8415 1.6138 W
```

*ii*
A geometry-optimized LiTlCuW structure, computed with PBE.

The structure in POSCAR format:
```
LiTlCuW
1.0
6.3530 0.0000 0.0000
0.0000 6.3530 0.0000
0.0000 0.0000 6.3530
Li Tl Cu W
4 4 4 4
Cartesian
0.0000 0.0000 0.0000 Li
0.0000 3.1765 3.1765 Li
3.1765 0.0000 3.1765 Li
3.1765 3.1765 0.0000 Li
1.5882 1.5882 1.5882 Tl
1.5882 4.7647 4.7647 Tl
4.7647 1.5882 4.7647 Tl
4.7647 4.7647 1.5882 Tl
0.0000 0.0000 3.1765 Cu
0.0000 3.1765 0.0000 Cu
3.1765 0.0000 0.0000 Cu
3.1765 3.1765 3.1765 Cu
1.5882 1.5882 4.7647 W
1.5882 4.7647 1.5882 W
4.7647 1.5882 1.5882 W
4.7647 4.7647 4.7647 W
```

*ii* has the most favorable energy; the next structure is 134 meV/atom above.